[1]
Below is crystalline K4InTe at its relaxed geometry, with properties calculated at the PBE level.

Output
- ρ: 2.47 g cm⁻³
- Uncorrected energy: -1.677 eV/atom
- SG: No. 216
- Formation energy from raw total energies: 20 kJ/mol of formula units

abc: 7.2358 7.2358 7.2358
angles: 60.00 60.00 60.00
Element x y z (fractional)
K: 0.1236 0.1236 0.1236
K: 0.1236 0.1236 0.6293
K: 0.1236 0.6293 0.1236
K: 0.6293 0.1236 0.1236
In: 0.5000 0.5000 0.5000
Te: 0.7500 0.7500 0.7500


[2]
Below is crystalline K3In2Te4 at its relaxed geometry, with properties calculated at the PBE level.

Output
- ρ: 3.77 g cm⁻³
- Distance to the lowest polymorph of the same formula: 0.23 eV per formula unit
- Uncorrected energy: -3.085 eV/atom
- SG: No. 12
- Formation energy from raw total energies: -620 kJ/mol of formula units

abc: 8.2611 8.2611 11.6274
angles: 124.10 124.10 36.14
Element x y z (fractional)
K: 0.0000 0.0000 0.0000
K: 0.3761 0.3761 0.2357
K: 0.6239 0.6239 0.7643
In: 0.3158 0.3158 0.6517
In: 0.6842 0.6842 0.3483
Te: 0.1016 0.1016 0.3806
Te: 0.3061 0.3061 0.8823
Te: 0.6939 0.6939 0.1177
Te: 0.8984 0.8984 0.6194


[3]
Below is crystalline K5In2Te4 at its relaxed geometry, with properties calculated at the PBE level.

Output
- ρ: 3.34 g cm⁻³
- Uncorrected energy: -2.924 eV/atom
- SG: No. 12
- Formation energy from raw total energies: -833 kJ/mol of formula units

abc: 9.1739 9.1739 9.5164
angles: 93.33 93.33 35.54
Element x y z (fractional)
K: 0.0000 0.0000 0.0000
K: 0.3408 0.3408 0.0337
K: 0.3410 0.3410 0.4849
K: 0.6590 0.6590 0.5151
K: 0.6592 0.6592 0.9663
In: 0.0244 0.0244 0.6500
In: 0.9756 0.9756 0.3500
Te: 0.1884 0.1884 0.7450
Te: 0.4798 0.4798 0.7546
Te: 0.5202 0.5202 0.2454
Te: 0.8116 0.8116 0.2550


[4]
Below is crystalline K14In2Te9 at its relaxed geometry, with properties calculated at the PBE level.

Output
- ρ: 2.70 g cm⁻³
- Uncorrected energy: -2.862 eV/atom
- SG: No. 147
- Formation energy from raw total energies: -2165 kJ/mol of formula units

abc: 9.9152 9.9152 13.8847
angles: 90.00 90.00 120.00
Element x y z (fractional)
K: 0.0000 0.0000 0.2485
K: 0.0000 0.0000 0.7515
K: 0.0221 0.6710 0.4083
K: 0.0568 0.3750 0.0941
K: 0.3182 0.9432 0.0941
K: 0.3290 0.3511 0.4083
K: 0.3511 0.0221 0.5917
K: 0.3750 0.3182 0.9059
K: 0.6250 0.6818 0.0941
K: 0.6489 0.9779 0.4083
K: 0.6710 0.6489 0.5917
K: 0.6818 0.0568 0.9059
K: 0.9432 0.6250 0.9059
K: 0.9779 0.3290 0.5917
In: 0.3333 0.6667 0.7594
In: 0.6667 0.3333 0.2406
Te: 0.0000 0.0000 0.5000
Te: 0.0568 0.3593 0.8380
Te: 0.3025 0.9432 0.8380
Te: 0.3333 0.6667 0.5345
Te: 0.3593 0.3025 0.1620
Te: 0.6407 0.6975 0.8380
Te: 0.6667 0.3333 0.4655
Te: 0.6975 0.0568 0.1620
Te: 0.9432 0.6407 0.1620


[5]
Below is crystalline KIn3Te3 at its relaxed geometry, with properties calculated at the PBE level.

Output
- ρ: 5.35 g cm⁻³
- Uncorrected energy: -3.016 eV/atom
- SG: No. 176
- Formation energy from raw total energies: -229 kJ/mol of formula units

abc: 11.2315 11.2315 4.3528
angles: 90.00 90.00 120.00
Element x y z (fractional)
K: 0.3333 0.6667 0.2500
K: 0.6667 0.3333 0.7500
In: 0.0408 0.2314 0.7500
In: 0.1906 0.9592 0.7500
In: 0.2314 0.1906 0.2500
In: 0.7686 0.8094 0.7500
In: 0.8094 0.0408 0.2500
In: 0.9592 0.7686 0.2500
Te: 0.0525 0.6447 0.7500
Te: 0.3553 0.4078 0.7500
Te: 0.4078 0.0525 0.2500
Te: 0.5922 0.9475 0.7500
Te: 0.6447 0.5922 0.2500
Te: 0.9475 0.3553 0.2500


[6]
Below is crystalline K2In2Te at its relaxed geometry, with properties calculated at the PBE level.

Output
- ρ: 3.77 g cm⁻³
- Distance to the lowest polymorph of the same formula: 0.00 eV per formula unit
- Uncorrected energy: -2.425 eV/atom
- SG: No. 127
- Formation energy from raw total energies: -126 kJ/mol of formula units

abc: 8.1801 8.1801 5.7284
angles: 90.00 90.00 90.00
Element x y z (fractional)
K: 0.1837 0.3163 0.0000
K: 0.3163 0.8163 0.0000
K: 0.6837 0.1837 0.0000
K: 0.8163 0.6837 0.0000
In: 0.1254 0.6254 0.5000
In: 0.3746 0.1254 0.5000
In: 0.6254 0.8746 0.5000
In: 0.8746 0.3746 0.5000
Te: 0.0000 0.0000 0.5000
Te: 0.5000 0.5000 0.5000


[7]
Below is crystalline KIn6Te8 at its relaxed geometry, with properties calculated at the PBE level.

Output
- ρ: 5.23 g cm⁻³
- Distance to the lowest polymorph of the same formula: 0.00 eV per formula unit
- Uncorrected energy: -3.163 eV/atom
- SG: No. 148
- Formation energy from raw total energies: -462 kJ/mol of formula units

abc: 8.2805 8.2805 8.2805
angles: 96.63 96.63 96.63
Element x y z (fractional)
K: 0.0000 0.0000 0.0000
In: 0.1705 0.6273 0.3149
In: 0.3149 0.1705 0.6273
In: 0.3727 0.6851 0.8295
In: 0.6273 0.3149 0.1705
In: 0.6851 0.8295 0.3727
In: 0.8295 0.3727 0.6851
Te: 0.1398 0.8384 0.6218
Te: 0.1616 0.3782 0.8602
Te: 0.3263 0.3263 0.3263
Te: 0.3782 0.8602 0.1616
Te: 0.6218 0.1398 0.8384
Te: 0.6737 0.6737 0.6737
Te: 0.8384 0.6218 0.1398
Te: 0.8602 0.1616 0.3782


[8]
Below is crystalline KTh2In3Te6 at its relaxed geometry, with properties calculated at the PBE level.

Output
- ρ: 5.90 g cm⁻³
- Uncorrected energy: -4.376 eV/atom
- SG: No. 12
- Formation energy from raw total energies: -918 kJ/mol of formula units

abc: 10.7224 10.7224 9.7771
angles: 105.00 105.00 24.75
Element x y z (fractional)
K: 0.0000 0.0000 0.0000
Th: 0.3326 0.3326 0.6707
Th: 0.6674 0.6674 0.3293
In: 0.0000 0.0000 0.5000
In: 0.3437 0.3437 0.1723
In: 0.6563 0.6563 0.8277
Te: 0.1718 0.1718 0.5626
Te: 0.1792 0.1792 0.1155
Te: 0.4797 0.4797 0.7277
Te: 0.5203 0.5203 0.2723
Te: 0.8208 0.8208 0.8845
Te: 0.8282 0.8282 0.4374


no.,total magnetization (μB/cell)
1,0.7
2,0.0
3,0.0
4,0.0
5,0.0
6,0.0
7,0.0
8,0.0